## ZrTa2Mo (GGA-PBE)

Data for ZrTa2Mo after structural relaxation.

Properties
energy above the lowest structure with this stoichiometry: 263 meV/atom

Lattice parameters (Å, degrees): 2.8169 4.8528 5.4956 90.00 90.00 90.00
Closest atoms and distances in Å follow each position.
Space group Pmmm (No. 47)
Inequivalent atoms, fractional coordinates:
Zr  0.0000  0.0000  0.0000 (multiplicity 1)  2 Mo 2.75, 2 Zr 2.82
Ta  0.5000  0.5000  0.2546 (multiplicity 2)  4 Ta 2.70-2.82
Mo  0.0000  0.0000  0.5000 (multiplicity 1)  2 Zr 2.75, 2 Mo 2.82

---

## ZrTa2Mo2 (GGA-PBE)

Data for ZrTa2Mo2 after structural relaxation.

Properties
energy above the lowest structure with this stoichiometry: 0 meV/atom

Lattice parameters (Å, degrees): 7.6733 7.6733 3.1979 90.00 90.00 90.00
Closest atoms and distances in Å follow each position.
Space group P4/mbm (No. 127)
Inequivalent atoms, fractional coordinates:
Zr  0.0000  0.0000  0.0000 (multiplicity 2)  4 Mo 2.93, 2 Zr 3.20
Ta  0.1465  0.3535  0.5000 (multiplicity 4)  6 Mo 2.74-2.77
Mo  0.1487  0.6487  0.0000 (multiplicity 4)  6 Ta 2.74-2.77, 2 Zr 2.93

---

## ZrTaMo (GGA-PBE)

Data for ZrTaMo after structural relaxation.

Properties
energy above the lowest structure with this stoichiometry: 346 meV/atom

Lattice parameters (Å, degrees): 3.1773 3.1773 6.6110 90.00 90.00 120.00
Closest atoms and distances in Å follow each position.
Space group P3m1 (No. 156)
Inequivalent atoms, fractional coordinates:
Zr  0.0000  0.0000  0.0000 (multiplicity 1)  3 Mo 2.87, 3 Ta 3.09, 6 Zr 3.18
Ta  0.3333  0.6667  0.6248 (multiplicity 1)  3 Mo 2.66
Mo  0.6667  0.3333  0.3341 (multiplicity 1)  3 Ta 2.66, 3 Zr 2.87

---

## ZrTaMo (GGA-PBE)

Data for ZrTaMo after structural relaxation.

Properties
energy above the lowest structure with this stoichiometry: 625 meV/atom

Lattice parameters (Å, degrees): 6.3728 6.3728 6.3728 90.00 90.00 90.00
Closest atoms and distances in Å follow each position.
Space group F-43m (No. 216)
Inequivalent atoms, fractional coordinates:
Zr  0.0000  0.0000  0.0000 (multiplicity 4)  4 Mo 2.76
Ta  0.0000  0.0000  0.5000 (multiplicity 4)  4 Mo 2.76
Mo  0.2500  0.2500  0.2500 (multiplicity 4)  4 Ta 2.76, 4 Zr 2.76

---

## ZrTa4Mo5 (GGA-PBE)

Data for ZrTa4Mo5 after structural relaxation.

Lattice parameters (Å, degrees): 3.2423 3.2423 16.3642 90.00 90.00 90.00
Closest atoms and distances in Å follow each position.
Space group P4/mmm (No. 123)
Inequivalent atoms, fractional coordinates:
Zr  0.0000  0.0000  0.0000 (multiplicity 1)  8 Mo 2.89
Ta  0.0000  0.0000  0.2040 (multiplicity 2)  8 Mo 2.78-2.81
Ta  0.0000  0.0000  0.4017 (multiplicity 2)  8 Mo 2.80
Mo  0.5000  0.5000  0.1076 (multiplicity 2)  4 Ta 2.78, 4 Zr 2.89
Mo  0.5000  0.5000  0.3031 (multiplicity 2)  8 Ta 2.80-2.81
Mo  0.5000  0.5000  0.5000 (multiplicity 1)  8 Ta 2.80

---

## ZrTa2Mo (GGA-PBE)

Data for ZrTa2Mo after structural relaxation.

Properties
energy above the lowest structure with this stoichiometry: 633 meV/atom

Lattice parameters (Å, degrees): 7.4867 7.4867 5.6991 90.00 90.00 90.00
Closest atoms and distances in Å follow each position.
Space group I-42d (No. 122)
Inequivalent atoms, fractional coordinates:
Zr  0.0000  0.0000  0.0000 (multiplicity 4)  2 Mo 2.85, 4 Ta 2.90
Ta  0.2199  0.2500  0.6250 (multiplicity 8)  2 Mo 2.59, 2 Ta 2.89, 2 Zr 2.90
Mo  0.0000  0.0000  0.5000 (multiplicity 4)  4 Ta 2.59, 2 Zr 2.85

---

## ZrTa5Mo6 (GGA-PBE)

Data for ZrTa5Mo6 after structural relaxation.

Lattice parameters (Å, degrees): 4.6084 6.4939 13.7336 90.00 90.00 90.00
Closest atoms and distances in Å follow each position.
Space group Immm (No. 71)
Inequivalent atoms, fractional coordinates:
Zr  0.0000  0.0000  0.0000 (multiplicity 2)  8 Mo 2.84
Ta  0.0000  0.0000  0.3331 (multiplicity 4)  8 Mo 2.79-2.81
Ta  0.0000  0.5000  0.0000 (multiplicity 2)  8 Mo 2.80-2.82
Ta  0.0000  0.5000  0.3323 (multiplicity 4)  8 Mo 2.76-2.84
Mo  0.0000  0.2449  0.5000 (multiplicity 4)  6 Ta 2.79-2.84, 2 Zr 2.84
Mo  0.0000  0.2525  0.1687 (multiplicity 8)  7 Ta 2.76-2.83, 1 Zr 2.84

---

## ZrTa2Mo (GGA-PBE)

Data for ZrTa2Mo after structural relaxation.

Properties
energy above the lowest structure with this stoichiometry: 86 meV/atom

Lattice parameters (Å, degrees): 6.6484 6.6484 6.6484 90.00 90.00 90.00
Closest atoms and distances in Å follow each position.
Space group Fm-3m (No. 225)
Inequivalent atoms, fractional coordinates:
Zr  0.0000  0.0000  0.0000 (multiplicity 4)  8 Ta 2.88
Ta  0.2500  0.2500  0.2500 (multiplicity 8)  4 Zr 2.88, 4 Mo 2.88
Mo  0.0000  0.0000  0.5000 (multiplicity 4)  8 Ta 2.88

---

In order of appearance, DFT formation energy = 0.235 0.284 0.232 0.511 -0.140 0.604 -0.147 0.057 eV/atom.
In order of appearance, magnetic moment = 0.0 0.0 0.0 0.0 0.0 0.0 0.0 0.0 μB/f.u..